(1)
12
Lattice="4.8806 0.0000 0.0000 1.8890 5.7704 0.0000 1.4853 0.9465 5.9202" Properties=species:S:1:pos:R:3 comment="La2RuRhO8 (PBE, optimized geometry)" final_energy_ev_per_atom=-7.388 formation_energy_uncorrected_ev_per_atom=-1.88 space_group=P-1 pbc="T T T"
La 1.1416 1.0174 1.1184
La 7.1133 5.6995 4.8018
Ru 4.1274 3.3584 2.9601
Rh 3.3848 2.8852 0.0000
O 3.2798 3.3310 4.7839
O 3.5532 5.1604 2.8130
O 2.6391 2.8030 1.8742
O 4.5266 5.7951 5.6516
O 3.7282 0.9218 0.2686
O 5.6158 3.9139 4.0460
O 4.7017 1.5564 3.1072
O 4.9751 3.3858 1.1363


(2)
20
Lattice="5.6793 0.0000 0.0000 0.0000 8.0763 0.0000 0.0000 0.0000 5.7761" Properties=species:S:1:pos:R:3 comment="La2ScRhO6 (PBE, optimized geometry)" final_energy_ev_per_atom=-8.024 formation_energy_uncorrected_ev_per_atom=-2.70 space_group=Pmmn pbc="T T T"
La 1.4198 0.1805 1.2552
La 1.4198 3.8577 1.2552
La 4.2595 4.2187 4.5208
La 4.2595 7.8959 4.5208
Sc 1.4198 2.0191 4.1986
Sc 4.2595 6.0573 1.5775
Rh 1.4198 6.0573 4.4189
Rh 4.2595 2.0191 1.3571
O 0.0438 2.0191 5.7559
O 0.0707 2.0191 2.7087
O 1.4198 4.0445 4.5229
O 1.4198 8.0701 4.5229
O 2.7689 2.0191 2.7087
O 2.7958 2.0191 5.7559
O 2.8835 6.0573 0.0202
O 2.9104 6.0573 3.0674
O 4.2595 0.0063 1.2532
O 4.2595 4.0319 1.2532
O 5.6085 6.0573 3.0674
O 5.6355 6.0573 0.0202


(3)
20
Lattice="5.6722 0.0000 0.0000 0.0000 6.1723 0.0000 -5.4398 0.0000 7.9280" Properties=species:S:1:pos:R:3 comment="La2SnRhO6 (PBE, optimized geometry)" final_energy_ev_per_atom=-7.347 formation_energy_uncorrected_ev_per_atom=-2.25 space_group=P2_1/c pbc="T T T"
La -0.0697 0.4542 1.9984
La -2.7896 2.6319 5.9624
La 3.0220 3.5404 1.9656
La 0.3021 5.7181 5.9297
Sn 2.8361 0.0000 0.0000
Sn 0.1162 3.0862 3.9640
Rh -2.7199 0.0000 3.9640
Rh 0.0000 3.0862 0.0000
O -4.3079 1.0612 7.4974
O -1.5880 2.0250 3.5334
O -3.6566 4.3248 7.4945
O -0.9367 4.9337 3.5305
O -1.9970 0.2602 5.9283
O 0.7229 2.8260 1.9643
O -0.4905 3.3463 5.9638
O 2.2294 5.9122 1.9998
O 1.1691 1.2387 4.3976
O 3.8891 1.8475 0.4335
O 1.8204 4.1474 4.3946
O 4.5403 5.1111 0.4306


(4)
7
Lattice="-2.0014 2.0014 6.2388 2.0014 -2.0014 6.2388 2.0014 2.0014 -6.2388" Properties=species:S:1:pos:R:3 comment="SrLaRhO4 (PBE, optimized geometry)" final_energy_ev_per_atom=-7.089 formation_energy_uncorrected_ev_per_atom=-2.26 space_group=I4mm pbc="T T T"
Sr 0.0000 0.0000 0.0000
La 0.0000 0.0000 8.9613
Rh 0.0000 0.0000 4.5543
O 0.0000 0.0000 2.4104
O 2.0014 0.0000 4.2907
O 0.0000 0.0000 6.6458
O 0.0000 2.0014 4.2907